Record 1
Compound: LaSi2PdW
Source: Alexandria
Functional: meta-GGA SCAN
Structure: PBEsol geometry

Cell: 5.1413 5.1413 4.8653 Å, 90.00 90.00 90.00°
Last column: nearest neighbours and their distance in Å.
Positions (direct):
La 0.0000 0.0000 0.0000  2 W 2.43, 4 Si 2.57
Si 0.0000 0.5000 0.0000  2 La 2.57
Si 0.5000 0.0000 0.0000  2 La 2.57
Pd 0.5000 0.5000 0.5000  8 Si 3.54, 4 W 3.64
W 0.0000 0.0000 0.5000  2 La 2.43

**N(E_F)**: 4.19 states/eV/cell
**Space group**: P4/mmm (123)
**Uncorrected formation energy**: 12.587 eV per formula unit


Record 2
Compound: LaSn3Pd
Source: Alexandria
Functional: meta-GGA SCAN
Structure: PBEsol geometry

Cell: 5.1505 5.1505 5.1505 Å, 90.00 90.00 90.00°
Last column: nearest neighbours and their distance in Å.
Positions (direct):
La 0.0000 0.0000 0.0000  12 Sn 3.64
Sn 0.0000 0.5000 0.5000  2 Pd 2.58
Sn 0.5000 0.0000 0.5000  2 Pd 2.58
Sn 0.5000 0.5000 0.0000  2 Pd 2.58
Pd 0.5000 0.5000 0.5000  6 Sn 2.58

**N(E_F)**: 3.24 states/eV/cell
**Space group**: Pm-3m (221)
**Energy relative to the elements**: -0.270 eV per atom


Record 3
Compound: LaSnPd
Source: Alexandria
Functional: meta-GGA SCAN
Structure: PBEsol geometry

Cell: 7.5648 4.7160 7.9093 Å, 90.00 90.00 90.00°
Last column: nearest neighbours and their distance in Å.
Positions (direct):
La 0.0163 0.2500 0.1968  3 Pd 3.10-3.23, 6 Sn 3.27-3.40
La 0.4837 0.7500 0.6968  3 Pd 3.10-3.23, 6 Sn 3.27-3.40
La 0.5163 0.2500 0.3032  3 Pd 3.10-3.23, 6 Sn 3.27-3.40
La 0.9837 0.7500 0.8032  3 Pd 3.10-3.23, 6 Sn 3.27-3.40
Sn 0.1808 0.2500 0.5869  4 Pd 2.73-2.88
Sn 0.3192 0.7500 0.0869  4 Pd 2.73-2.88
Sn 0.6808 0.2500 0.9131  4 Pd 2.73-2.88
Sn 0.8192 0.7500 0.4131  4 Pd 2.73-2.88
Pd 0.1997 0.7500 0.4142  4 Sn 2.73-2.88
Pd 0.3003 0.2500 0.9142  4 Sn 2.73-2.88
Pd 0.6997 0.7500 0.0858  4 Sn 2.73-2.88
Pd 0.8003 0.2500 0.5858  4 Sn 2.73-2.88

**N(E_F)**: 9.65 states/eV/cell
**Space group**: Pnma (62)
**Energy relative to the elements**: -1.040 eV per atom


Record 4
Compound: LaSnPd
Source: Alexandria
Functional: meta-GGA SCAN
Structure: PBEsol geometry

Cell: 7.5848 7.5848 4.1706 Å, 90.00 90.00 120.00°
Last column: nearest neighbours and their distance in Å.
Positions (direct):
La 0.0000 0.4157 0.0000  5 Pd 3.09-3.15, 6 Sn 3.30-3.45
La 0.4157 0.0000 0.0000  5 Pd 3.09-3.15, 6 Sn 3.30-3.45
La 0.5843 0.5843 0.0000  5 Pd 3.09-3.15, 6 Sn 3.30-3.45
Sn 0.0000 0.7522 0.5000  4 Pd 2.81-2.91
Sn 0.2478 0.2478 0.5000  4 Pd 2.81-2.91
Sn 0.7522 0.0000 0.5000  4 Pd 2.81-2.91
Pd 0.0000 0.0000 0.0000  6 Sn 2.81
Pd 0.3333 0.6667 0.5000  3 Sn 2.91, 6 La 3.09
Pd 0.6667 0.3333 0.5000  3 Sn 2.91, 6 La 3.09

**N(E_F)**: 1.86 states/eV/cell
**Space group**: P-62m (189)
**Energy relative to the elements**: -1.051 eV per atom


Record 5
Compound: La3SnPd
Source: Alexandria
Functional: meta-GGA SCAN
Structure: PBEsol geometry

Cell: 5.5104 5.5104 5.5104 Å, 90.00 90.00 90.00°
Last column: nearest neighbours and their distance in Å.
Positions (direct):
La 0.0000 0.0000 0.5000  2 Pd 2.76
La 0.0000 0.5000 0.0000  2 Pd 2.76
La 0.5000 0.0000 0.0000  2 Pd 2.76
Sn 0.5000 0.5000 0.5000  12 La 3.90
Pd 0.0000 0.0000 0.0000  6 La 2.76

**N(E_F)**: 5.84 states/eV/cell
**Space group**: Pm-3m (221)
**Energy relative to the elements**: -0.515 eV per atom


Record 6
Compound: LaTa2Pd
Source: Alexandria
Functional: meta-GGA SCAN
Structure: PBEsol geometry

Cell: 4.6968 4.6968 4.6968 Å, 60.00 60.00 60.00°
Last column: nearest neighbours and their distance in Å.
Positions (direct):
La 0.0000 0.0000 0.0000  8 Ta 2.88
Ta 0.2500 0.2500 0.2500  4 La 2.88, 4 Pd 2.88
Ta 0.7500 0.7500 0.7500  4 La 2.88, 4 Pd 2.88
Pd 0.5000 0.5000 0.5000  8 Ta 2.88

**N(E_F)**: 4.60 states/eV/cell
**Space group**: Fm-3m (225)
**Energy relative to the elements**: 0.424 eV per atom